Record 1
VASP calculation (PBE) on an optimized crystal structure of Ac3Dy.

Unit cell a=5.504 b=5.504 c=6.708 alpha=114.22 beta=114.22 gamma=90.00
Positions (direct):
1 Dy 0.000 0.000 0.000
2 Ac 0.750 0.250 0.500
3 Ac 0.250 0.750 0.500
4 Ac 0.500 0.500 0.000

Summary:
Electronic total energy, eV per atom: -4.181
E_form, eV per atom: 0.051
V, Å³/cell: 165.53

***

Record 2
VASP calculation (PBE) on an optimized crystal structure of YMgTe2.

Unit cell a=6.828 b=6.828 c=6.828 alpha=143.43 beta=143.43 gamma=52.69
Positions (direct):
1 Mg 0.750 0.250 0.500
2 Te 0.250 0.750 0.500
3 Te 0.000 0.000 0.000
4 Y 0.500 0.500 0.000

Summary:
Electronic total energy, eV per atom: -4.356
V, Å³/cell: 112.35
Formation energy without anion corrections, meV/atom: -770
Offset from the most stable computed form, meV/atom: 302

***

Record 3
VASP calculation (PBE) on an optimized crystal structure of Pm7Y3Tm.

Unit cell a=10.258 b=10.258 c=12.569 alpha=65.69 beta=114.30 gamma=138.91
Positions (direct):
1 Pm 0.842 0.163 0.224
2 Y 0.000 0.000 0.500
3 Y 0.331 0.669 0.226
4 Pm 0.579 0.914 0.472
5 Y 0.669 0.331 0.774
6 Y 0.669 0.331 0.274
7 Pm 0.421 0.086 0.528
8 Pm 0.419 0.083 0.029
9 Y 0.000 0.000 0.000
10 Pm 0.917 0.581 0.529
11 Y 0.331 0.669 0.726
12 Pm 0.158 0.837 0.776
13 Pm 0.837 0.158 0.724
14 Pm 0.083 0.419 0.471
15 Pm 0.163 0.842 0.276
16 Pm 0.717 0.717 0.250
17 Pm 0.581 0.917 0.971
18 Pm 0.086 0.421 0.972
19 Tm 0.500 0.500 0.500
20 Tm 0.500 0.500 0.000
21 Pm 0.283 0.283 0.750
22 Pm 0.914 0.579 0.028

Summary:
Electronic total energy, eV per atom: -5.008
E_form, eV per atom: 0.185
V, Å³/cell: 780.75
Offset from the most stable computed form, meV/atom: 0

***

Record 4
VASP calculation (PBE) on an optimized crystal structure of MgTaSe2.

Unit cell a=4.794 b=4.794 c=4.794 alpha=60.00 beta=60.00 gamma=60.00
Positions (direct):
1 Mg 0.500 0.500 0.500
2 Ta 0.750 0.750 0.750
3 Se 0.000 0.000 0.000
4 Se 0.250 0.250 0.250

Summary:
Electronic total energy, eV per atom: -4.558
V, Å³/cell: 77.91
Formation energy without anion corrections, meV/atom: 546

***

Record 5
VASP calculation (PBE) on an optimized crystal structure of NaCd2Pt2.

Unit cell a=8.084 b=8.084 c=2.998 alpha=90.00 beta=90.00 gamma=90.00
Positions (direct):
1 Cd 0.832 0.332 0.500
2 Na 0.000 0.000 0.000
3 Pt 0.871 0.629 0.000
4 Cd 0.332 0.168 0.500
5 Na 0.500 0.500 0.000
6 Pt 0.371 0.871 0.000
7 Cd 0.668 0.832 0.500
8 Pt 0.629 0.129 0.000
9 Pt 0.129 0.371 0.000
10 Cd 0.168 0.668 0.500

Summary:
Electronic total energy, eV per atom: -3.375
E_form, eV per atom: -0.329
V, Å³/cell: 195.94
Offset from the most stable computed form, meV/atom: 0

***

Record 6
VASP calculation (PBE) on an optimized crystal structure of Y3Al9Ir2.

Unit cell a=4.297 b=8.143 c=8.143 alpha=73.16 beta=74.70 gamma=74.70
Positions (direct):
1 Al 0.651 0.711 0.988
2 Y 0.295 0.705 0.705
3 Al 0.871 0.845 0.414
4 Al 0.651 0.988 0.711
5 Al 0.349 0.289 0.012
6 Ir 0.500 0.679 0.321
7 Al 0.871 0.414 0.845
8 Al 0.349 0.012 0.289
9 Y 0.000 0.000 0.000
10 Y 0.705 0.295 0.295
11 Al 0.000 0.500 0.500
12 Al 0.129 0.586 0.155
13 Al 0.129 0.155 0.586
14 Ir 0.500 0.321 0.679

Summary:
Electronic total energy, eV per atom: -5.725
E_form, eV per atom: -0.668
V, Å³/cell: 257.54

***

Record 7
VASP calculation (PBE) on an optimized crystal structure of Ni3C.

Unit cell a=2.530 b=4.298 c=4.298 alpha=116.25 beta=78.68 gamma=78.68
Positions (direct):
1 Ni 0.500 0.000 0.500
2 Ni 0.000 0.500 0.500
3 Ni 0.500 0.500 0.000
4 C 0.000 0.000 0.000

Summary:
Electronic total energy, eV per atom: -5.651
E_form, eV per atom: 0.991
V, Å³/cell: 38.90
Offset from the most stable computed form, meV/atom: 929

***

Record 8
VASP calculation (PBE) on an optimized crystal structure of K2CdPt4Pb3.

Unit cell a=4.835 b=4.835 c=11.078 alpha=90.00 beta=90.00 gamma=90.00
Positions (direct):
1 Pb 0.000 0.500 0.123
2 Pt 0.000 0.500 0.373
3 Pb 0.500 0.000 0.877
4 K 0.500 0.000 0.244
5 Pt 0.500 0.000 0.627
6 K 0.000 0.500 0.756
7 Pt 0.500 0.500 0.000
8 Pt 0.000 0.000 0.000
9 Pb 0.000 0.000 0.500
10 Cd 0.500 0.500 0.500

Summary:
Electronic total energy, eV per atom: -4.076
E_form, eV per atom: -0.236
V, Å³/cell: 258.99

***

Record 9
VASP calculation (PBE) on an optimized crystal structure of NdSeBr.

Unit cell a=4.331 b=5.813 c=9.900 alpha=90.00 beta=100.00 gamma=90.00
Positions (direct):
1 Se 0.718 0.250 0.920
2 Nd 0.699 0.750 0.871
3 Br 0.882 0.250 0.332
4 Br 0.118 0.750 0.668
5 Nd 0.301 0.250 0.129
6 Se 0.282 0.750 0.080

Summary:
Electronic total energy, eV per atom: -5.189
V, Å³/cell: 245.46
Formation energy without anion corrections, meV/atom: -1881

***

Record 10
VASP calculation (PBE) on an optimized crystal structure of Cd4Ag5Au3.

Unit cell a=5.144 b=4.714 c=12.487 alpha=78.81 beta=78.11 gamma=56.94
Positions (direct):
1 Au 0.173 0.380 0.273
2 Ag 0.545 0.706 0.204
3 Ag 0.455 0.294 0.796
4 Au 0.827 0.620 0.727
5 Ag 0.500 0.500 0.500
6 Cd 0.200 0.947 0.654
7 Au 0.000 0.500 0.500
8 Cd 0.800 0.053 0.346
9 Ag 0.313 0.336 0.038
10 Ag 0.687 0.664 0.962
11 Cd 0.931 0.022 0.115
12 Cd 0.069 0.978 0.885

Summary:
Electronic total energy, eV per atom: -2.268
E_form, eV per atom: 0.044
V, Å³/cell: 247.11

***

Record 11
VASP calculation (PBE) on an optimized crystal structure of NbAl2BN.

Unit cell a=5.179 b=3.938 c=5.179 alpha=90.00 beta=90.00 gamma=90.00
Positions (direct):
1 Al 0.000 0.000 0.500
2 Nb 0.000 0.000 0.000
3 B 0.500 0.500 0.500
4 Al 0.500 0.000 0.000
5 N 0.000 0.500 0.000

Summary:
Electronic total energy, eV per atom: -5.098
V, Å³/cell: 105.64
Formation energy without anion corrections, meV/atom: 1413

***

Record 12
VASP calculation (PBE) on an optimized crystal structure of TbPrNd2Th.

Unit cell a=8.502 b=6.460 c=6.623 alpha=103.28 beta=90.00 gamma=90.00
Positions (direct):
1 Th 0.000 0.000 0.000
2 Nd 0.671 0.281 0.836
3 Tb 0.662 0.000 0.250
4 Pr 0.902 0.500 0.250
5 Pr 0.098 0.500 0.750
6 Th 0.000 0.000 0.500
7 Nd 0.329 0.281 0.336
8 Nd 0.671 0.719 0.664
9 Tb 0.338 0.000 0.750
10 Nd 0.329 0.719 0.164

Summary:
Electronic total energy, eV per atom: -5.030
E_form, eV per atom: 0.243
V, Å³/cell: 354.06

***

Record 13
VASP calculation (PBE) on an optimized crystal structure of Dy5Y3Er4.

Unit cell a=5.825 b=8.539 c=9.556 alpha=105.84 beta=72.25 gamma=70.06
Positions (direct):
1 Er 0.860 0.221 0.060
2 Er 0.164 0.049 0.623
3 Dy 0.626 0.949 0.800
4 Dy 0.500 0.500 0.500
5 Y 0.521 0.688 0.270
6 Er 0.140 0.779 0.940
7 Dy 0.787 0.540 0.887
8 Y 0.000 0.500 0.500
9 Dy 0.374 0.051 0.200
10 Y 0.479 0.312 0.730
11 Er 0.836 0.951 0.377
12 Dy 0.213 0.460 0.113

Summary:
Electronic total energy, eV per atom: -4.801
E_form, eV per atom: 0.254
V, Å³/cell: 386.04
Offset from the most stable computed form, meV/atom: 232

***

Record 14
VASP calculation (PBE) on an optimized crystal structure of Cr2FeGe.

Unit cell a=6.549 b=6.549 c=5.228 alpha=51.22 beta=51.22 gamma=90.00
Positions (direct):
1 Ge 0.750 0.250 0.500
2 Fe 0.250 0.750 0.500
3 Cr 0.375 0.411 0.750
4 Fe 0.500 0.500 0.000
5 Ge 0.000 0.000 0.000
6 Cr 0.875 0.839 0.750
7 Cr 0.589 0.125 0.250
8 Cr 0.161 0.625 0.250

Summary:
Electronic total energy, eV per atom: -7.540
E_form, eV per atom: 0.542
V, Å³/cell: 104.09

***

Record 15
VASP calculation (PBE) on an optimized crystal structure of Rb2Ce2Br7.

Unit cell a=7.410 b=8.029 c=7.410 alpha=90.05 beta=98.41 gamma=89.95
Positions (direct):
1 Br 0.500 0.776 0.500
2 Br 0.000 0.238 0.500
3 Ce 0.279 0.000 0.721
4 Ce 0.721 0.000 0.279
5 Br 0.000 0.000 0.000
6 Br 0.500 0.224 0.500
7 Br 0.500 0.762 0.000
8 Br 0.000 0.762 0.500
9 Rb 0.237 0.500 0.237
10 Br 0.500 0.238 0.000
11 Rb 0.763 0.500 0.763

Summary:
Electronic total energy, eV per atom: -4.045
V, Å³/cell: 436.12
Formation energy without anion corrections, meV/atom: -1725

***

Record 16
VASP calculation (PBE) on an optimized crystal structure of Al2InAg.

Unit cell a=9.275 b=9.275 c=9.275 alpha=19.46 beta=19.46 gamma=19.46
Positions (direct):
1 Al 0.494 0.494 0.494
2 Al 0.006 0.006 0.006
3 In 0.250 0.250 0.250
4 Ag 0.750 0.750 0.750

Summary:
Electronic total energy, eV per atom: -3.195
E_form, eV per atom: 0.073
V, Å³/cell: 77.41

***

Record 17
VASP calculation (PBE) on an optimized crystal structure of Tm6P2HS3.

Unit cell a=3.868 b=7.665 c=8.581 alpha=103.98 beta=103.02 gamma=90.00
Positions (direct):
1 P 0.163 0.328 0.327
2 P 0.837 0.672 0.673
3 Tm 0.001 0.752 0.003
4 Tm 0.999 0.248 0.997
5 S 0.500 0.500 0.000
6 Tm 0.331 0.422 0.662
7 S 0.169 0.834 0.338
8 Tm 0.335 0.916 0.671
9 S 0.831 0.166 0.662
10 Tm 0.665 0.084 0.329
11 Tm 0.669 0.578 0.338
12 H 0.500 0.000 0.000

Summary:
Electronic total energy, eV per atom: -6.000
V, Å³/cell: 240.09

***

Record 18
VASP calculation (PBE) on an optimized crystal structure of TeCl2F.

Unit cell a=8.721 b=8.721 c=8.721 alpha=23.23 beta=23.23 gamma=23.23
Positions (direct):
1 Te 0.500 0.500 0.500
2 Cl 0.083 0.083 0.083
3 F 0.000 0.000 0.000
4 Cl 0.917 0.917 0.917

Summary:
Electronic total energy, eV per atom: -2.206
V, Å³/cell: 90.61
Formation energy without anion corrections, meV/atom: -29
Offset from the most stable computed form, meV/atom: 194

***

Record 19
VASP calculation (PBE) on an optimized crystal structure of Ba6Li15Hg8.

Unit cell a=10.528 b=10.528 c=10.528 alpha=60.00 beta=60.00 gamma=60.00
Positions (direct):
1 Li 0.321 0.321 0.321
2 Ba 0.734 0.266 0.734
3 Li 0.000 0.000 0.000
4 Hg 0.140 0.140 0.579
5 Hg 0.579 0.140 0.140
6 Li 0.321 0.036 0.321
7 Hg 0.860 0.860 0.860
8 Ba 0.734 0.734 0.266
9 Hg 0.860 0.860 0.421
10 Hg 0.140 0.140 0.140
11 Li 0.000 0.500 0.500
12 Ba 0.266 0.734 0.266
13 Hg 0.140 0.579 0.140
14 Li 0.500 0.000 0.000
15 Li 0.964 0.679 0.679
16 Li 0.000 0.500 0.000
17 Li 0.321 0.321 0.036
18 Li 0.000 0.000 0.500
19 Ba 0.266 0.266 0.734
20 Li 0.679 0.679 0.679
21 Li 0.500 0.000 0.500
22 Li 0.036 0.321 0.321
23 Hg 0.860 0.421 0.860
24 Hg 0.421 0.860 0.860
25 Li 0.679 0.679 0.964
26 Ba 0.734 0.266 0.266
27 Ba 0.266 0.734 0.734
28 Li 0.679 0.964 0.679
29 Li 0.500 0.500 0.000

Summary:
Electronic total energy, eV per atom: -1.744
E_form, eV per atom: -0.273
V, Å³/cell: 825.05

***

Record 20
VASP calculation (PBE) on an optimized crystal structure of CoH2Au2.

Unit cell a=5.558 b=5.558 c=3.798 alpha=90.00 beta=90.00 gamma=90.00
Positions (direct):
1 Au 0.251 0.249 0.500
2 Co 0.500 0.500 0.000
3 Au 0.249 0.749 0.500
4 H 0.251 0.249 0.000
5 H 0.249 0.749 0.000
6 Co 0.000 0.000 0.000
7 H 0.749 0.751 0.000
8 H 0.751 0.251 0.000
9 Au 0.749 0.751 0.500
10 Au 0.751 0.251 0.500

Summary:
Electronic total energy, eV per atom: -3.820
V, Å³/cell: 117.34
Offset from the most stable computed form, meV/atom: 0